Record 1
AcAsIr: optimized geometry, PBE.

Summary:
density of states at the Fermi level: 3.6 states/eV per cell
SG: Imma, No. 74
E_form: -0.7996 eV/atom
DFT total energy: -40.036 eV/cell

Lattice parameters (Å, degrees): 5.642 6.072 6.072 63.51 62.36 62.36
Positions (direct):
Ac 0.961 0.768 0.955
Ac 0.461 0.268 0.455
As 0.211 0.945 0.277
As 0.711 0.590 0.632
Ir 0.461 0.268 0.955
Ir 0.961 0.268 0.955

=====

Record 2
Rb6SeI2Cl2: optimized geometry, PBE.

Summary:
density of states at the Fermi level: 0.0 states/eV per cell
SG: C2/m, No. 12
DFT total energy: -32.601 eV/cell
raw formation energy: -16.52 eV per formula unit

Lattice parameters (Å, degrees): 8.610 8.610 9.055 99.60 99.60 119.69
Last column: magnetic moment on the atom in μB.
Positions (direct):
Rb 0.758 0.758 0.710  0.00
Rb 0.051 0.395 0.705  0.00
Rb 0.242 0.242 0.290  0.00
Rb 0.395 0.051 0.705  0.00
Rb 0.949 0.605 0.295  0.00
Rb 0.605 0.949 0.295  0.00
Se 0.000 0.000 0.500  0.09
I 0.827 0.173 0.000  0.00
I 0.173 0.827 0.000  0.00
Cl 0.339 0.661 0.500  0.00
Cl 0.661 0.339 0.500  0.00

=====

Record 3
MgTc: optimized geometry, PBE.

Summary:
density of states at the Fermi level: 2.2 states/eV per cell
SG: Cmcm, No. 63
E_form: 0.0584 eV/atom
DFT total energy: -23.688 eV/cell

Lattice parameters (Å, degrees): 3.026 8.087 3.047 90.00 90.00 100.78
Positions (direct):
Mg 0.411 0.822 0.250
Mg 0.589 0.178 0.750
Tc 0.206 0.413 0.250
Tc 0.794 0.587 0.750

=====

Record 4
Pr4SbAsI2: optimized geometry, PBE.

Summary:
density of states at the Fermi level: 2.8 states/eV per cell
SG: P2/m, No. 10
DFT total energy: -40.547 eV/cell
raw formation energy: -9.56 eV per formula unit

Lattice parameters (Å, degrees): 4.450 7.818 8.108 108.68 90.00 90.00
Positions (direct):
Pr 0.500 0.215 0.200
Pr 0.500 0.785 0.800
Pr 0.000 0.242 0.795
Pr 0.000 0.758 0.205
Sb 0.500 0.500 0.000
As 0.000 0.000 0.000
I 0.500 0.000 0.500
I 0.000 0.500 0.500

=====

- The highest DFT total energy belongs to which entry?
  MgTc